Below is a geometry-optimized CeAl9Fe2 structure, with properties calculated at the PBE level. Values from VASP.

Cell and atoms, written as Quantum ESPRESSO input:
```
&SYSTEM
  ibrav = 0, nat = 24, ntyp = 3
/
ATOMIC_SPECIES
Fe 55.84 Fe.upf
Al 26.98 Al.upf
Ce 140.12 Ce.upf
ATOMIC_POSITIONS angstrom
Fe -1.183 -4.428 6.698
Al 0.267 -6.662 7.499
Fe 2.375 -8.348 6.827
Fe -1.736 -8.499 6.908
Al 2.911 -2.570 5.726
Fe 1.611 -5.374 9.565
Al 2.016 -7.850 9.277
Al 2.944 -5.984 7.508
Al -1.450 -6.540 5.339
Ce 1.583 -5.565 4.551
Al 0.190 -4.081 1.977
Al 2.734 -8.845 4.377
Al 4.653 -4.490 5.790
Al 0.376 -9.381 7.976
Al 0.292 -8.460 5.402
Al 0.077 -2.581 5.522
Al 1.829 -2.550 3.279
Al -1.562 -4.112 4.221
Al 1.202 -4.064 7.445
Ce -1.316 -1.097 2.948
Al 0.611 -8.264 2.580
Al 0.000 0.000 0.000
Al 4.373 -7.315 5.678
Al -1.131 -6.344 2.517
CELL_PARAMETERS angstrom
-2.632 -2.194 5.896
-1.106 -8.142 0.420
5.588 -1.891 5.735
```

## Properties
magnetization = 0.12 μB/atom
E_form = -325 meV/atom
symmetry = I4_1/amd